Crystalline SrGdCoO4 at its relaxed geometry, computed with PBE+U.

Lattice parameters (Å, degrees): 6.612 6.612 5.363 90.00 90.00 132.41
Fractional positions:
Sr  0.104  0.896  0.750
Sr  0.896  0.104  0.250
Gd  0.383  0.617  0.750
Gd  0.617  0.383  0.250
Co  0.251  0.749  0.250
Co  0.749  0.251  0.750
O  0.000  0.500  0.000
O  0.000  0.500  0.500
O  0.094  0.906  0.250
O  0.425  0.575  0.250
O  0.500  0.000  0.000
O  0.500  0.000  0.500
O  0.575  0.425  0.750
O  0.906  0.094  0.750

Distance to the lowest polymorph of the same formula, meV per atom: 29
Size of the total moment, μB/atom: 0.999